Below is a relaxed Ac2LaPr5Sm crystal, with properties calculated at the PBE-GGA level.

a b c (Å): 5.940 20.901 11.128
angles (deg): 90.00 90.00 90.00
Space group Cmc2_1 (No. 36)
Unique sites:
Ac (0.000, 0.115, 0.000) [4 per cell]
Ac (0.000, 0.117, 0.591) [4 per cell]
La (0.000, 0.413, 0.731) [4 per cell]
Pr (0.000, 0.019, 0.295) [4 per cell]
Pr (0.000, 0.282, 0.583) [4 per cell]
Pr (0.000, 0.296, 0.974) [4 per cell]
Pr (0.000, 0.390, 0.291) [4 per cell]
Pr (0.000, 0.483, 0.011) [4 per cell]
Sm (0.000, 0.207, 0.279) [4 per cell]

Output
energy of formation = 0.124 eV/atom

Below is a relaxed FeCu2Tc crystal, with properties calculated at the PBE-GGA level.

a b c (Å): 3.615 3.642 7.658
angles (deg): 90.00 90.00 90.00
Space group Cmm2 (No. 35)
Unique sites:
Fe (0.000, 0.000, 0.000) [2 per cell]
Cu (0.000, 0.000, 0.523) [2 per cell]
Cu (0.000, 0.500, 0.762) [2 per cell]
Tc (0.000, 0.500, 0.260) [2 per cell]

Output
energy of formation = 0.151 eV/atom
energy above the most stable polymorph in this dataset = 0.00 kcal/mol of atoms

Below is a relaxed SrGaSeN2 crystal, with properties calculated at the PBE-GGA level.

a b c (Å): 4.901 4.901 6.154
angles (deg): 90.00 90.00 90.00
Space group P4/mmm (No. 123)
Unique sites:
Sr (0.000, 0.000, 0.000) [1 per cell]
Ga (0.500, 0.500, 0.500) [1 per cell]
Se (0.000, 0.000, 0.500) [1 per cell]
N (0.000, 0.500, 0.000) [2 per cell]

Output
uncorrected formation energy = 1.223 eV per atom
energy above the most stable polymorph in this dataset = 21.07 kcal/mol of atoms

Below is a relaxed LiTi2Cl crystal, with properties calculated at the PBE-GGA level.

a b c (Å): 3.617 3.617 22.094
angles (deg): 90.00 90.00 90.00
Space group I-42d (No. 122)
Unique sites:
Li (0.000, 0.000, 0.000) [4 per cell]
Ti (0.244, 0.250, 0.625) [8 per cell]
Cl (0.000, 0.000, 0.500) [4 per cell]

Output
uncorrected formation energy = 0.079 eV per atom
energy above the most stable polymorph in this dataset = 0.00 kcal/mol of atoms

These records have M_tot values of 0.0 4.8 4.9 0.0 μB/cell, in the order they appear.